The following is a DFT calculation (PBE) of crystalline Ho2ScHg6 at its relaxed geometry.

Geometry as POSCAR:
```
Ho2ScHg6
1.0
7.088 -5.768 0.000
7.088 5.768 0.000
-0.935 0.000 5.269
Ho Sc Hg
4 2 12
Direct
0.042 0.293 0.081
0.293 0.042 0.581
0.707 0.958 0.419
0.958 0.707 0.919
0.377 0.623 0.750
0.623 0.377 0.250
0.073 0.815 0.473
0.159 0.408 0.638
0.185 0.927 0.027
0.270 0.516 0.195
0.408 0.159 0.138
0.484 0.730 0.305
0.516 0.270 0.695
0.592 0.841 0.862
0.730 0.484 0.805
0.815 0.073 0.973
0.841 0.592 0.362
0.927 0.185 0.527
```

## Properties
size of the total moment: 0.0 Bohr magnetons per cell
symmetry: C2/c, No. 15
ΔH_f (0 K): -33.8 kJ per mole of atoms
total DFT energy (no corrections): -40.90 eV for the cell shown